Compound: VCdH
Source: Alexandria via LeMat-Bulk
Functional: PBE
Structure: relaxed

The space group is P6_3/mmc (No. 194) and the conventional cell measures 4.6728, 4.6728 and 5.5194 Å, with angles of 90.00, 90.00 and 120.00 degrees. The asymmetric unit holds V at (0.3333, 0.6667, 0.2500), Cd at (0.3333, 0.6667, 0.7500) and H at (0.0000, 0.0000, 0.0000).

For the final energy, the calculation gives -3.1999 eV per atom. The calculation puts the density of states at the Fermi level at 1.1897 states/eV per atom. The value obtained for the total magnetic moment is 6.831 μB per cell.